This record from Alexandria via LeMat-Bulk describes a relaxed Mn2Zn2Si crystal. The functional is PBE.

Properties
energy relative to the lowest polymorph listed for this composition	0.000	eV per atom

Lattice parameters (Å, degrees): 5.881 5.881 3.971 90.00 90.00 90.00
Site moments in Bohr magnetons follow the coordinates.
Atoms (fractional coordinates):
1 Zn 0.660 0.840 0.500  -0.05
2 Si 0.000 0.000 0.000  -0.10
3 Mn 0.359 0.859 0.000  1.68
4 Zn 0.160 0.660 0.500  -0.05
5 Mn 0.859 0.641 0.000  1.68
6 Zn 0.340 0.160 0.500  -0.05
7 Mn 0.641 0.141 0.000  1.68
8 Si 0.500 0.500 0.000  -0.10
9 Zn 0.840 0.340 0.500  -0.05
10 Mn 0.141 0.359 0.000  1.68



This record from Alexandria via LeMat-Bulk describes a relaxed MnZn4Si crystal. The functional is PBE.

Lattice parameters (Å, degrees): 5.057 5.057 5.057 60.00 60.00 60.00
Site moments in Bohr magnetons follow the coordinates.
Atoms (fractional coordinates):
1 Zn 0.376 0.376 0.376  -0.04
2 Zn 0.376 0.376 0.873  -0.04
3 Zn 0.376 0.873 0.376  -0.04
4 Si 0.000 0.000 0.000  -0.03
5 Zn 0.873 0.376 0.376  -0.04
6 Mn 0.750 0.750 0.750  3.56



This record from Alexandria via LeMat-Bulk describes a relaxed Mn4ZnSi crystal. The functional is PBE.

Lattice parameters (Å, degrees): 4.656 4.656 4.656 60.00 60.00 60.00
Atoms (fractional coordinates):
1 Mn 0.625 0.625 0.625
2 Si 0.250 0.250 0.250
3 Mn 0.625 0.625 0.126
4 Zn 0.000 0.000 0.000
5 Mn 0.126 0.625 0.625
6 Mn 0.625 0.126 0.625



This record from Alexandria via LeMat-Bulk describes a relaxed MnZn2Si crystal. The functional is PBE.

Lattice parameters (Å, degrees): 4.643 4.643 4.643 133.52 133.55 67.82
Site moments in Bohr magnetons follow the coordinates.
Atoms (fractional coordinates):
1 Si 0.250 0.750 0.500  -0.06
2 Mn 0.500 0.500 0.000  1.48
3 Zn 0.750 0.250 0.500  -0.05
4 Zn 0.000 0.000 0.000  -0.05



no.,total DFT energy (no corrections) (eV/atom),formation energy without anion corrections (meV per atom),total moment (μB/f.u.)
1,-5.24,18.3,3.098
2,-3.01,269.7,3.344
3,-6.99,239.0,0.000
4,-4.27,11.9,1.230